Entry 1:
# Na5AgSe3 (PBE, optimized geometry)
# Size of the total moment (μB per atom): 0.000
# ΔE_f (raw) (meV/atom): -899
# Space group: C2/c (15)
# Electronic total energy (eV/atom): -3.110
data_Na5AgSe3
_chemical_formula_sum 'Na10 Ag2 Se6'
_space_group_name_H-M_alt 'P 1'
_space_group_IT_number 1
_cell_length_a 6.7646
_cell_length_b 8.2576
_cell_length_c 9.5700
_cell_angle_alpha 106.83
_cell_angle_beta 90.00
_cell_angle_gamma 114.18
loop_
_space_group_symop_operation_xyz
'x,y,z'
loop_
_atom_site_label
_atom_site_fract_x
_atom_site_fract_y
_atom_site_fract_z
_atom_site_occupancy
Na1 0.0858 0.6718 0.4146 1
Se1 0.0000 0.0000 0.5000 1
Na2 0.9142 0.3282 0.5854 1
Se2 0.0000 0.0000 0.0000 1
Se3 0.6590 0.3271 0.3318 1
Ag1 0.2617 0.0000 0.2500 1
Se4 0.6681 0.3271 0.8318 1
Na3 0.7545 0.0000 0.2500 1
Na4 0.5852 0.6727 0.4214 1
Ag2 0.7383 0.0000 0.7500 1
Se5 0.3319 0.6729 0.1682 1
Se6 0.3410 0.6729 0.6682 1
Na5 0.4139 0.3282 0.0854 1
Na6 0.0874 0.6727 0.9214 1
Na7 0.2455 0.0000 0.7500 1
Na8 0.4148 0.3273 0.5786 1
Na9 0.9126 0.3273 0.0786 1
Na10 0.5861 0.6718 0.9146 1



Entry 2:
# NaSmAgSe2 (PBE, optimized geometry)
# Size of the total moment (μB per atom): 0.000
# ΔE_f (raw) (meV/atom): -938
# Space group: P2/c (13)
# Electronic total energy (eV/atom): -4.110
data_NaSmAgSe2
_chemical_formula_sum 'Na2 Sm2 Ag2 Se4'
_space_group_name_H-M_alt 'P 1'
_space_group_IT_number 1
_cell_length_a 5.0515
_cell_length_b 7.0597
_cell_length_c 7.9991
_cell_angle_alpha 98.25
_cell_angle_beta 90.00
_cell_angle_gamma 90.00
loop_
_space_group_symop_operation_xyz
'x,y,z'
loop_
_atom_site_label
_atom_site_fract_x
_atom_site_fract_y
_atom_site_fract_z
_atom_site_occupancy
Se1 0.6536 0.7220 0.9674 1
Se2 0.3464 0.7220 0.4674 1
Ag1 0.0000 0.0000 0.5000 1
Sm1 0.4930 0.0000 0.2500 1
Ag2 0.0000 0.0000 0.0000 1
Na1 0.8850 0.5000 0.2500 1
Na2 0.1150 0.5000 0.7500 1
Se3 0.6536 0.2780 0.5326 1
Sm2 0.5070 0.0000 0.7500 1
Se4 0.3464 0.2780 0.0326 1



Entry 3:
# Na2AgSnSe4 (PBE, optimized geometry)
# Size of the total moment (μB per atom): 0.000
# ΔE_f (raw) (meV/atom): -519
# Space group: I-42m (121)
# Electronic total energy (eV/atom): -3.448
data_Na2AgSnSe4
_chemical_formula_sum 'Na2 Ag1 Sn1 Se4'
_space_group_name_H-M_alt 'P 1'
_space_group_IT_number 1
_cell_length_a 6.9591
_cell_length_b 6.3918
_cell_length_c 6.3918
_cell_angle_alpha 72.76
_cell_angle_beta 57.02
_cell_angle_gamma 57.02
loop_
_space_group_symop_operation_xyz
'x,y,z'
loop_
_atom_site_label
_atom_site_fract_x
_atom_site_fract_y
_atom_site_fract_z
_atom_site_occupancy
Na1 0.0000 0.5000 0.5000 1
Sn1 0.5000 0.0000 0.0000 1
Se1 0.9166 0.0000 0.6236 1
Se2 0.5402 0.0000 0.3764 1
Se3 0.4598 0.6236 0.0000 1
Na2 0.5000 0.5000 0.5000 1
Se4 0.0834 0.3764 0.0000 1
Ag1 0.0000 0.0000 0.0000 1



Entry 4:
# NaAgSnSe3 (PBE, optimized geometry)
# Size of the total moment (μB per atom): 0.000
# ΔE_f (raw) (meV/atom): -479
# Space group: P2_1/m (11)
# Electronic total energy (eV/atom): -3.583
data_NaAgSnSe3
_chemical_formula_sum 'Na2 Ag2 Sn2 Se6'
_space_group_name_H-M_alt 'P 1'
_space_group_IT_number 1
_cell_length_a 4.0771
_cell_length_b 10.6580
_cell_length_c 7.6882
_cell_angle_alpha 105.40
_cell_angle_beta 90.00
_cell_angle_gamma 90.00
loop_
_space_group_symop_operation_xyz
'x,y,z'
loop_
_atom_site_label
_atom_site_fract_x
_atom_site_fract_y
_atom_site_fract_z
_atom_site_occupancy
Na1 0.7500 0.6697 0.6459 1
Se1 0.7500 0.2059 0.5230 1
Sn1 0.7500 0.3290 0.8761 1
Se2 0.2500 0.4974 0.7911 1
Ag1 0.2500 0.0509 0.6234 1
Se3 0.7500 0.8142 0.0348 1
Se4 0.2500 0.1858 0.9652 1
Se5 0.2500 0.7941 0.4770 1
Ag2 0.7500 0.9491 0.3766 1
Se6 0.7500 0.5026 0.2089 1
Sn2 0.2500 0.6710 0.1239 1
Na2 0.2500 0.3303 0.3541 1



Entry 5:
# NaAg2SnSe4 (PBE, optimized geometry)
# Size of the total moment (μB per atom): 0.000
# ΔE_f (raw) (meV/atom): -370
# Space group: I-42m (121)
# Electronic total energy (eV/atom): -3.491
data_NaAg2SnSe4
_chemical_formula_sum 'Na1 Ag2 Sn1 Se4'
_space_group_name_H-M_alt 'P 1'
_space_group_IT_number 1
_cell_length_a 6.4840
_cell_length_b 6.4840
_cell_length_c 6.4840
_cell_angle_alpha 111.01
_cell_angle_beta 111.01
_cell_angle_gamma 106.43
loop_
_space_group_symop_operation_xyz
'x,y,z'
loop_
_atom_site_label
_atom_site_fract_x
_atom_site_fract_y
_atom_site_fract_z
_atom_site_occupancy
Sn1 0.0000 0.0000 0.0000 1
Ag1 0.7500 0.2500 0.5000 1
Ag2 0.2500 0.7500 0.5000 1
Se1 0.6005 0.6005 0.6027 1
Na1 0.5000 0.5000 0.0000 1
Se2 0.9978 0.9978 0.3973 1
Se3 0.3995 0.0022 0.0000 1
Se4 0.0022 0.3995 0.0000 1



Entry 6:
# NaTaAgSe4 (PBE, optimized geometry)
# Size of the total moment (μB per atom): 0.000
# ΔE_f (raw) (meV/atom): -559
# Space group: P2_1/m (11)
# Electronic total energy (eV/atom): -4.839
data_NaTaAgSe4
_chemical_formula_sum 'Na2 Ta2 Ag2 Se8'
_space_group_name_H-M_alt 'P 1'
_space_group_IT_number 1
_cell_length_a 6.1481
_cell_length_b 9.1890
_cell_length_c 8.7162
_cell_angle_alpha 90.00
_cell_angle_beta 109.48
_cell_angle_gamma 90.00
loop_
_space_group_symop_operation_xyz
'x,y,z'
loop_
_atom_site_label
_atom_site_fract_x
_atom_site_fract_y
_atom_site_fract_z
_atom_site_occupancy
Se1 0.8665 0.0328 0.7235 1
Ag1 0.8599 0.7500 0.2918 1
Ag2 0.1401 0.2500 0.7082 1
Ta1 0.6394 0.2500 0.7212 1
Na1 0.1136 0.2500 0.0831 1
Se2 0.1335 0.5328 0.2765 1
Ta2 0.3606 0.7500 0.2788 1
Se3 0.8665 0.4672 0.7235 1
Na2 0.8864 0.7500 0.9169 1
Se4 0.1335 0.9672 0.2765 1
Se5 0.4639 0.7500 0.0359 1
Se6 0.3112 0.2500 0.4688 1
Se7 0.6888 0.7500 0.5312 1
Se8 0.5361 0.2500 0.9641 1



Entry 7:
# Na3TaAg2Se6 (PBE, optimized geometry)
# Size of the total moment (μB per atom): 0.000
# ΔE_f (raw) (meV/atom): -584
# Space group: C2/m (12)
# Electronic total energy (eV/atom): -4.119
data_Na3TaAg2Se6
_chemical_formula_sum 'Na3 Ta1 Ag2 Se6'
_space_group_name_H-M_alt 'P 1'
_space_group_IT_number 1
_cell_length_a 7.0189
_cell_length_b 7.0189
_cell_length_c 7.1377
_cell_angle_alpha 98.24
_cell_angle_beta 98.24
_cell_angle_gamma 122.24
loop_
_space_group_symop_operation_xyz
'x,y,z'
loop_
_atom_site_label
_atom_site_fract_x
_atom_site_fract_y
_atom_site_fract_z
_atom_site_occupancy
Se1 0.9162 0.6100 0.7911 1
Ag1 0.6608 0.3392 0.0000 1
Se2 0.0838 0.3900 0.2089 1
Se3 0.6100 0.9162 0.7911 1
Se4 0.2180 0.2180 0.7651 1
Se5 0.7820 0.7820 0.2349 1
Ta1 0.0000 0.0000 0.0000 1
Ag2 0.3392 0.6608 0.0000 1
Na1 0.8174 0.1826 0.5000 1
Na2 0.5000 0.5000 0.5000 1
Se6 0.3900 0.0838 0.2089 1
Na3 0.1826 0.8174 0.5000 1



Entry 8:
# NaTb2AgSe4 (PBE, optimized geometry)
# Size of the total moment (μB per atom): 0.000
# ΔE_f (raw) (meV/atom): -1433
# Space group: P2/m (10)
# Electronic total energy (eV/atom): -4.854
data_NaTb2AgSe4
_chemical_formula_sum 'Na1 Tb2 Ag1 Se4'
_space_group_name_H-M_alt 'P 1'
_space_group_IT_number 1
_cell_length_a 4.1655
_cell_length_b 7.2052
_cell_length_c 7.2035
_cell_angle_alpha 110.04
_cell_angle_beta 90.00
_cell_angle_gamma 90.00
loop_
_space_group_symop_operation_xyz
'x,y,z'
loop_
_atom_site_label
_atom_site_fract_x
_atom_site_fract_y
_atom_site_fract_z
_atom_site_occupancy
Na1 0.5000 0.5000 0.0000 1
Tb1 0.0000 0.5000 0.5000 1
Tb2 0.5000 0.0000 0.5000 1
Se1 0.5000 0.2498 0.2594 1
Se2 0.0000 0.2462 0.7358 1
Se3 0.5000 0.7502 0.7406 1
Se4 0.0000 0.7538 0.2642 1
Ag1 0.0000 0.0000 0.0000 1



Entry 9:
# NaTb3Ag2Se6 (PBE, optimized geometry)
# Size of the total moment (μB per atom): 0.000
# ΔE_f (raw) (meV/atom): -1345
# Space group: C2/m (12)
# Electronic total energy (eV/atom): -4.830
data_NaTb3Ag2Se6
_chemical_formula_sum 'Na1 Tb3 Ag2 Se6'
_space_group_name_H-M_alt 'P 1'
_space_group_IT_number 1
_cell_length_a 4.1743
_cell_length_b 8.1874
_cell_length_c 9.2250
_cell_angle_alpha 101.55
_cell_angle_beta 103.08
_cell_angle_gamma 90.00
loop_
_space_group_symop_operation_xyz
'x,y,z'
loop_
_atom_site_label
_atom_site_fract_x
_atom_site_fract_y
_atom_site_fract_z
_atom_site_occupancy
Se1 0.3319 0.9298 0.6638 1
Tb1 0.8298 0.1789 0.6596 1
Se2 0.9951 0.2566 0.9901 1
Ag1 0.1650 0.3138 0.3301 1
Tb2 0.1702 0.8211 0.3404 1
Tb3 0.5000 0.5000 0.0000 1
Se3 0.6681 0.0702 0.3362 1
Se4 0.0049 0.7434 0.0099 1
Na1 0.5000 0.0000 0.0000 1
Se5 0.6659 0.5754 0.3319 1
Ag2 0.8350 0.6862 0.6699 1
Se6 0.3341 0.4246 0.6681 1



Entry 10:
# NaAgTeSe2 (PBE, optimized geometry)
# Size of the total moment (μB per atom): 0.000
# ΔE_f (raw) (meV/atom): -184
# Space group: Cmme (67)
# Electronic total energy (eV/atom): -3.040
data_NaAgTeSe2
_chemical_formula_sum 'Na2 Ag2 Te2 Se4'
_space_group_name_H-M_alt 'P 1'
_space_group_IT_number 1
_cell_length_a 5.3748
_cell_length_b 6.4455
_cell_length_c 8.0747
_cell_angle_alpha 113.52
_cell_angle_beta 90.00
_cell_angle_gamma 90.00
loop_
_space_group_symop_operation_xyz
'x,y,z'
loop_
_atom_site_label
_atom_site_fract_x
_atom_site_fract_y
_atom_site_fract_z
_atom_site_occupancy
Na1 0.2602 0.7500 0.5000 1
Te1 0.5000 0.7500 0.0000 1
Se1 0.2419 0.3353 0.6705 1
Ag1 0.0000 0.5000 0.0000 1
Se2 0.7581 0.6647 0.3295 1
Ag2 0.0000 0.0000 0.0000 1
Na2 0.7398 0.2500 0.5000 1
Te2 0.5000 0.2500 0.0000 1
Se3 0.2419 0.1647 0.3295 1
Se4 0.7581 0.8353 0.6705 1



Entry 11:
# NaAgTe2Se4 (PBE, optimized geometry)
# Size of the total moment (μB per atom): 0.000
# ΔE_f (raw) (meV/atom): -212
# Space group: I-42m (121)
# Electronic total energy (eV/atom): -3.261
data_NaAgTe2Se4
_chemical_formula_sum 'Na1 Ag1 Te2 Se4'
_space_group_name_H-M_alt 'P 1'
_space_group_IT_number 1
_cell_length_a 7.1502
_cell_length_b 6.9071
_cell_length_c 6.9071
_cell_angle_alpha 85.90
_cell_angle_beta 58.83
_cell_angle_gamma 58.83
loop_
_space_group_symop_operation_xyz
'x,y,z'
loop_
_atom_site_label
_atom_site_fract_x
_atom_site_fract_y
_atom_site_fract_z
_atom_site_occupancy
Se1 0.4662 0.1286 0.4051 1
Ag1 0.0000 0.5000 0.5000 1
Na1 0.0000 0.0000 0.0000 1
Se2 0.9999 0.8714 0.5949 1
Se3 0.0001 0.4051 0.1286 1
Te1 0.5000 0.7499 0.2501 1
Te2 0.5000 0.2501 0.7499 1
Se4 0.5338 0.5949 0.8714 1



Entry 12:
# NaAg2TeSe4 (PBE, optimized geometry)
# Size of the total moment (μB per atom): 0.000
# ΔE_f (raw) (meV/atom): -197
# Space group: Imma (74)
# Electronic total energy (eV/atom): -3.209
data_NaAg2TeSe4
_chemical_formula_sum 'Na2 Ag4 Te2 Se8'
_space_group_name_H-M_alt 'P 1'
_space_group_IT_number 1
_cell_length_a 8.2739
_cell_length_b 8.2739
_cell_length_c 7.8749
_cell_angle_alpha 118.42
_cell_angle_beta 118.42
_cell_angle_gamma 94.22
loop_
_space_group_symop_operation_xyz
'x,y,z'
loop_
_atom_site_label
_atom_site_fract_x
_atom_site_fract_y
_atom_site_fract_z
_atom_site_occupancy
Se1 0.2657 0.7937 0.0297 1
Ag1 0.0000 0.0000 0.5000 1
Ag2 0.5000 0.0000 0.5000 1
Se2 0.2400 0.2601 0.9887 1
Ag3 0.5000 0.5000 0.0000 1
Ag4 0.5000 0.0000 0.0000 1
Se3 0.2399 0.2600 0.5113 1
Na1 0.0000 0.5000 0.0000 1
Se4 0.2937 0.7657 0.5297 1
Se5 0.7600 0.7399 0.0113 1
Na2 0.0000 0.5000 0.5000 1
Te1 0.5000 0.5000 0.5000 1
Se6 0.7601 0.7400 0.4887 1
Se7 0.7063 0.2343 0.4703 1
Se8 0.7343 0.2063 0.9703 1
Te2 0.0000 0.0000 0.0000 1



Look up the ΔE_f (raw) of the twelfth one.
-197 meV/atom



Repeat the eighth record exactly.
# NaTb2AgSe4 (PBE, optimized geometry)
# Size of the total moment (μB per atom): 0.000
# ΔE_f (raw) (meV/atom): -1433
# Space group: P2/m (10)
# Electronic total energy (eV/atom): -4.854
data_NaTb2AgSe4
_chemical_formula_sum 'Na1 Tb2 Ag1 Se4'
_space_group_name_H-M_alt 'P 1'
_space_group_IT_number 1
_cell_length_a 4.1655
_cell_length_b 7.2052
_cell_length_c 7.2035
_cell_angle_alpha 110.04
_cell_angle_beta 90.00
_cell_angle_gamma 90.00
loop_
_space_group_symop_operation_xyz
'x,y,z'
loop_
_atom_site_label
_atom_site_fract_x
_atom_site_fract_y
_atom_site_fract_z
_atom_site_occupancy
Na1 0.5000 0.5000 0.0000 1
Tb1 0.0000 0.5000 0.5000 1
Tb2 0.5000 0.0000 0.5000 1
Se1 0.5000 0.2498 0.2594 1
Se2 0.0000 0.2462 0.7358 1
Se3 0.5000 0.7502 0.7406 1
Se4 0.0000 0.7538 0.2642 1
Ag1 0.0000 0.0000 0.0000 1



Which value of electronic total energy does entry 8 give?
-4.854 eV/atom